1.
A plane-wave DFT calculation with PBE+U was carried out for Pm2MnPbO6 after structural relaxation.

a b c (Å): 5.3810 5.3810 5.3745
angles (deg): 90.00 90.00 90.00
Space group P4mm (No. 99)
Asymmetric unit:
Pm 0.0000 0.5000 0.0000 (multiplicity 2)
Mn 0.0000 0.0000 0.6214 (multiplicity 1)
Pb 0.5000 0.5000 0.5402 (multiplicity 1)
O 0.0000 0.0000 0.2253 (multiplicity 1)
O 0.2396 0.2396 0.7427 (multiplicity 4)
O 0.5000 0.5000 0.1232 (multiplicity 1)

Calculated values
Raw total energy in eV per cell: -71.47
Fermi-level density of states in states/eV per atom: 0.1272


2.
A plane-wave DFT calculation with PBE+U was carried out for PmMnPbO4 after structural relaxation.

a b c (Å): 6.0578 5.7789 7.0762
angles (deg): 90.00 108.81 90.00
Space group P2_1/m (No. 11)
Asymmetric unit:
Pm 0.2068 0.2500 0.0510 (multiplicity 2)
Mn 0.2376 0.7500 0.8001 (multiplicity 2)
Pb 0.3299 0.2500 0.5873 (multiplicity 2)
O 0.0265 0.5181 0.8002 (multiplicity 4)
O 0.4595 0.7500 0.6516 (multiplicity 2)
O 0.4713 0.7500 0.0809 (multiplicity 2)

Calculated values
Raw total energy in eV per cell: -97.75


3.
A plane-wave DFT calculation with PBE+U was carried out for PmMn2PbO6 after structural relaxation.

a b c (Å): 7.8555 7.7909 5.5295
angles (deg): 90.00 134.57 90.00
Space group Cm (No. 8)
Asymmetric unit:
Pm 0.0000 0.0000 0.0000 (multiplicity 2)
Mn 0.4856 0.2496 0.4907 (multiplicity 4)
Pb 0.4779 0.0000 0.9816 (multiplicity 2)
O 0.0759 0.5000 0.5797 (multiplicity 2)
O 0.2252 0.2029 0.4719 (multiplicity 4)
O 0.2270 0.2073 0.9897 (multiplicity 4)
O 0.4156 0.5000 0.4324 (multiplicity 2)

Calculated values
Raw total energy in eV per cell: -144.06
Fermi-level density of states in states/eV per atom: 0.1742


4.
A plane-wave DFT calculation with PBE+U was carried out for PmMn4PbO8 after structural relaxation.

a b c (Å): 6.3419 6.3419 16.6429
angles (deg): 90.00 90.00 120.00
Space group R3m (No. 160, hexagonal axes)
Asymmetric unit:
Pm 0.0000 0.0000 0.0000 (multiplicity 3)
Mn 0.0000 0.0000 0.2236 (multiplicity 3)
Mn 0.1678 0.3355 0.4448 (multiplicity 9)
Pb 0.0000 0.0000 0.6068 (multiplicity 3)
O 0.0000 0.0000 0.3476 (multiplicity 3)
O 0.0000 0.0000 0.8660 (multiplicity 3)
O 0.0415 0.5208 0.3868 (multiplicity 9)
O 0.1775 0.3550 0.1657 (multiplicity 9)

Calculated values
Raw total energy in eV per cell: -306.13
Fermi-level density of states in states/eV per atom: 0.0047


5.
A plane-wave DFT calculation with PBE+U was carried out for Pr3Mn4PbO12 after structural relaxation.

a b c (Å): 5.5824 7.8238 5.6141
angles (deg): 90.00 90.31 90.00
Space group Pm (No. 6)
Asymmetric unit:
Pr 0.0000 0.0000 0.0000 (multiplicity 1)
Pr 0.0142 0.5000 0.0737 (multiplicity 1)
Pr 0.4992 0.5000 0.5793 (multiplicity 1)
Mn 0.0097 0.2504 0.5365 (multiplicity 2)
Mn 0.5100 0.2497 0.0421 (multiplicity 2)
Pb 0.5169 0.0000 0.5202 (multiplicity 1)
O 0.0706 0.0000 0.5620 (multiplicity 1)
O 0.2323 0.2954 0.8173 (multiplicity 2)
O 0.2853 0.2991 0.3164 (multiplicity 2)
O 0.4312 0.0000 0.0412 (multiplicity 1)
O 0.5828 0.5000 0.0249 (multiplicity 1)
O 0.7393 0.2213 0.7654 (multiplicity 2)
O 0.8041 0.2179 0.2450 (multiplicity 2)
O 0.9296 0.5000 0.5196 (multiplicity 1)

Calculated values
Raw total energy in eV per cell: -151.72
Fermi-level density of states in states/eV per atom: 0.1017


6.
A plane-wave DFT calculation with PBE+U was carried out for PrMn2PbO5 after structural relaxation.

a b c (Å): 3.9874 3.9874 7.9763
angles (deg): 90.00 90.00 90.00
Space group P4/mmm (No. 123)
Asymmetric unit:
Pr 0.0000 0.0000 0.0000 (multiplicity 1)
Mn 0.5000 0.5000 0.2417 (multiplicity 2)
Pb 0.0000 0.0000 0.5000 (multiplicity 1)
O 0.0000 0.5000 0.1899 (multiplicity 4)
O 0.5000 0.5000 0.5000 (multiplicity 1)

Calculated values
Raw total energy in eV per cell: -65.40
Fermi-level density of states in states/eV per atom: 0.1512


7.
A plane-wave DFT calculation with PBE+U was carried out for Mn2PtPbO8 after structural relaxation.

a b c (Å): 6.5378 6.5669 6.4402
angles (deg): 90.00 90.00 90.00
Space group Cmmm (No. 65)
Asymmetric unit:
Mn 0.0000 0.0000 0.2427 (multiplicity 4)
Pt 0.0000 0.5000 0.0000 (multiplicity 2)
Pb 0.0000 0.5000 0.5000 (multiplicity 2)
O 0.0000 0.1733 0.5000 (multiplicity 4)
O 0.0000 0.1932 0.0000 (multiplicity 4)
O 0.2044 0.5000 0.2317 (multiplicity 8)

Calculated values
Raw total energy in eV per cell: -151.20
Fermi-level density of states in states/eV per atom: 0.3993


8.
A plane-wave DFT calculation with PBE+U was carried out for MnPt2PbO8 after structural relaxation.

a b c (Å): 5.5375 5.5375 6.2592
angles (deg): 90.00 90.00 120.00
Space group P-3 (No. 147)
Asymmetric unit:
Mn 0.0000 0.0000 0.0000 (multiplicity 1)
Pt 0.3333 0.6667 0.9512 (multiplicity 2)
Pb 0.0000 0.0000 0.5000 (multiplicity 1)
O 0.0540 0.3681 0.1443 (multiplicity 6)
O 0.3333 0.6667 0.6404 (multiplicity 2)

Calculated values
Raw total energy in eV per cell: -66.22
Fermi-level density of states in states/eV per atom: 0.2634


9.
A plane-wave DFT calculation with PBE+U was carried out for PuMnPbO6 after structural relaxation.

a b c (Å): 5.3665 5.3665 10.7450
angles (deg): 90.00 90.00 120.00
Space group P-31c (No. 163)
Asymmetric unit:
Pu 0.3333 0.6667 0.2500 (multiplicity 2)
Mn 0.3333 0.6667 0.7500 (multiplicity 2)
Pb 0.0000 0.0000 0.0000 (multiplicity 2)
O 0.0087 0.3737 0.6482 (multiplicity 12)

Calculated values
Raw total energy in eV per cell: -143.48
Fermi-level density of states in states/eV per atom: 0.5318


10.
A plane-wave DFT calculation with PBE+U was carried out for Rb2MnPbO4 after structural relaxation.

a b c (Å): 6.2613 8.0958 6.5062
angles (deg): 90.00 90.00 90.00
Space group Pmmn (No. 59, origin choice 2)
Asymmetric unit:
Rb 0.2500 0.0092 0.2456 (multiplicity 4)
Mn 0.2500 0.7500 0.6672 (multiplicity 2)
Pb 0.2500 0.2500 0.7311 (multiplicity 2)
O 0.0028 0.7500 0.5013 (multiplicity 4)
O 0.2500 0.5591 0.8007 (multiplicity 4)

Calculated values
Raw total energy in eV per cell: -86.59
Fermi-level density of states in states/eV per atom: 0.1826


11.
A plane-wave DFT calculation with PBE+U was carried out for RbMnPbO4 after structural relaxation.

a b c (Å): 9.2354 9.2354 9.2354
angles (deg): 90.00 90.00 90.00
Space group F-43m (No. 216)
Asymmetric unit:
Rb 0.0000 0.0000 0.0000 (multiplicity 4)
Mn 0.0000 0.0000 0.5000 (multiplicity 4)
Pb 0.2500 0.2500 0.7500 (multiplicity 4)
O 0.1078 0.1078 0.6078 (multiplicity 16)

Calculated values
Raw total energy in eV per cell: -157.74


12.
A plane-wave DFT calculation with PBE+U was carried out for MnRePb2O6 after structural relaxation.

a b c (Å): 5.7748 8.0920 5.9523
angles (deg): 90.00 90.00 90.00
Space group Pmmn (No. 59, origin choice 2)
Asymmetric unit:
Mn 0.2500 0.2500 0.2278 (multiplicity 2)
Re 0.2500 0.7500 0.2354 (multiplicity 2)
Pb 0.2500 0.0187 0.6926 (multiplicity 4)
O 0.0010 0.7500 0.4764 (multiplicity 4)
O 0.0128 0.7500 0.0216 (multiplicity 4)
O 0.2500 0.5132 0.2767 (multiplicity 4)

Calculated values
Raw total energy in eV per cell: -142.12
Relative energy among the computed polymorphs in meV/atom: 0
Fermi-level density of states in states/eV per atom: 0.3013


13.
A plane-wave DFT calculation with PBE+U was carried out for MnRePb2O6 after structural relaxation.

a b c (Å): 8.1623 8.1623 8.1623
angles (deg): 90.00 90.00 90.00
Space group Fm-3m (No. 225)
Asymmetric unit:
Mn 0.0000 0.0000 0.0000 (multiplicity 4)
Re 0.0000 0.0000 0.5000 (multiplicity 4)
Pb 0.2500 0.2500 0.2500 (multiplicity 8)
O 0.0000 0.0000 0.2635 (multiplicity 24)

Calculated values
Raw total energy in eV per cell: -283.73
Relative energy among the computed polymorphs in meV/atom: 13
Fermi-level density of states in states/eV per atom: 0.2617


14.
A plane-wave DFT calculation with PBE+U was carried out for Mn2RePbO8 after structural relaxation.

a b c (Å): 6.5971 7.0723 6.4296
angles (deg): 90.00 90.00 90.00
Space group Cmmm (No. 65)
Asymmetric unit:
Mn 0.0000 0.0000 0.2435 (multiplicity 4)
Re 0.0000 0.5000 0.0000 (multiplicity 2)
Pb 0.0000 0.5000 0.5000 (multiplicity 2)
O 0.0000 0.3132 0.2100 (multiplicity 8)
O 0.1748 0.0000 0.5000 (multiplicity 4)
O 0.2038 0.0000 0.0000 (multiplicity 4)

Calculated values
Raw total energy in eV per cell: -174.26
Fermi-level density of states in states/eV per atom: 0.1175


15.
A plane-wave DFT calculation with PBE+U was carried out for MnRePb2O6 after structural relaxation.

a b c (Å): 7.2578 7.5055 10.6195
angles (deg): 90.00 90.00 90.00
Space group Imma (No. 74)
Asymmetric unit:
Mn 0.2500 0.2500 0.2500 (multiplicity 4)
Re 0.0000 0.0000 0.0000 (multiplicity 4)
Pb 0.0000 0.0000 0.5000 (multiplicity 4)
Pb 0.2500 0.2500 0.7500 (multiplicity 4)
O 0.0000 0.2500 0.3245 (multiplicity 4)
O 0.0000 0.2500 0.9515 (multiplicity 4)
O 0.1872 0.0390 0.1232 (multiplicity 16)

Calculated values
Raw total energy in eV per cell: -282.30
Relative energy among the computed polymorphs in meV/atom: 49
Fermi-level density of states in states/eV per atom: 0.4370


16.
A plane-wave DFT calculation with PBE+U was carried out for MnRhPb2O6 after structural relaxation.

a b c (Å): 5.6263 5.6435 5.6968
angles (deg): 119.66 119.54 90.07
Space group P-1 (No. 2)
Asymmetric unit:
Mn 0.0000 0.0000 0.0000 (multiplicity 1)
Rh 0.5000 0.5000 0.0000 (multiplicity 1)
Pb 0.2527 0.7302 0.5032 (multiplicity 2)
O 0.1918 0.6771 0.8731 (multiplicity 2)
O 0.2646 0.1584 0.5272 (multiplicity 2)
O 0.3180 0.3219 0.1261 (multiplicity 2)

Calculated values
Raw total energy in eV per cell: -62.28
Fermi-level density of states in states/eV per atom: 0.4493


17.
A plane-wave DFT calculation with PBE+U was carried out for MnRuPb2O6 after structural relaxation.

a b c (Å): 5.7551 5.7551 3.9943
angles (deg): 90.00 90.00 90.00
Space group P4mm (No. 99)
Asymmetric unit:
Mn 0.0000 0.0000 0.0000 (multiplicity 1)
Ru 0.5000 0.5000 0.9983 (multiplicity 1)
Pb 0.0000 0.5000 0.4420 (multiplicity 2)
O 0.0000 0.0000 0.5130 (multiplicity 1)
O 0.2601 0.2601 0.0457 (multiplicity 4)
O 0.5000 0.5000 0.5290 (multiplicity 1)

Calculated values
Raw total energy in eV per cell: -64.73
Fermi-level density of states in states/eV per atom: 0.3168


18.
A plane-wave DFT calculation with PBE+U was carried out for MnRuPbO6 after structural relaxation.

a b c (Å): 4.8191 4.8191 9.5784
angles (deg): 90.00 90.00 90.00
Space group P4_2nm (No. 102)
Asymmetric unit:
Mn 0.0000 0.0000 0.0000 (multiplicity 2)
Ru 0.0000 0.0000 0.3334 (multiplicity 2)
Pb 0.0000 0.0000 0.6667 (multiplicity 2)
O 0.1743 0.1743 0.1647 (multiplicity 4)
O 0.1936 0.1936 0.4780 (multiplicity 4)
O 0.2098 0.2098 0.8447 (multiplicity 4)

Calculated values
Raw total energy in eV per cell: -118.50
Fermi-level density of states in states/eV per atom: 0.4958